P) This record from the Alexandria database describes Li3FeF6 after structural relaxation. The functional is PBE with a Hubbard U.

Unit cell a=9.486 b=10.391 c=5.355 alpha=90.00 beta=90.00 gamma=90.00
Space group Cmc2_1 (No. 36)
Symmetry-distinct sites (fractional):
Li  0.000  0.059  0.000 x4
Li  0.180  0.119  0.502 x8
Fe  0.000  0.363  0.268 x4
F  0.000  0.226  0.507 x4
F  0.000  0.486  0.537 x4
F  0.139  0.000  0.253 x8
F  0.157  0.292  0.109 x8

Density of states at the Fermi level ... 0.00 states/eV per cell
Total magnetic moment ... 5.00 μB/f.u.
Volume ... 13.197 A^3/atom



Q) This record from the Alexandria database describes Li3FeF6 after structural relaxation. The functional is PBE with a Hubbard U.

Unit cell a=5.1351 b=5.1351 c=9.4434 alpha=90.00 beta=90.00 gamma=120.00
Space group P-31c (No. 163)
Symmetry-distinct sites (fractional):
Li  0.3333  0.6667  0.0408 x4
Li  0.3333  0.6667  0.7500 x2
Fe  0.0000  0.0000  0.0000 x2
F  0.0298  0.3381  0.8895 x12

Density of states at the Fermi level ... 0.00 states/eV per cell
Total magnetic moment ... 4.99 μB/f.u.
Volume ... 10.783 A^3/atom



Out of the structures above, which one is the most stable? Solution: Q).